# 1
{
  "formula": "Ho2TiAg2S6",
  "functional": "GGA-PBE",
  "state": "optimized geometry",
  "lattice_angstrom": [[3.344, -5.687, 0.000], [3.344, 5.687, 0.000], [-2.725, 0.000, 6.303]],
  "species": ["Ho", "Ho", "Ti", "Ag", "Ag", "S", "S", "S", "S", "S", "S"],
  "frac_coords": [[0.167, 0.833, 0.000], [0.833, 0.167, 0.000], [0.500, 0.500, 0.000], [0.317, 0.683, 0.500], [0.683, 0.317, 0.500], [0.099, 0.406, 0.772], [0.293, 0.293, 0.229], [0.406, 0.099, 0.772], [0.594, 0.901, 0.228], [0.707, 0.707, 0.771], [0.901, 0.594, 0.228]],
  "formation_energy_uncorrected_mev_per_atom": -1236.5,
  "magnetic_moment_mub_per_cell": 0.000
}

# 2
{
  "formula": "Ho2TlAgS4",
  "functional": "GGA-PBE",
  "state": "optimized geometry",
  "lattice_angstrom": [[2.009, -6.725, 0.000], [2.009, 6.725, 0.000], [0.000, 0.000, 14.334]],
  "species": ["Ho", "Ho", "Ho", "Ho", "Tl", "Tl", "Ag", "Ag", "S", "S", "S", "S", "S", "S", "S", "S"],
  "frac_coords": [[0.131, 0.869, 0.566], [0.131, 0.869, 0.934], [0.869, 0.131, 0.066], [0.869, 0.131, 0.434], [0.386, 0.614, 0.750], [0.614, 0.386, 0.250], [0.327, 0.673, 0.250], [0.673, 0.327, 0.750], [0.059, 0.941, 0.750], [0.237, 0.763, 0.098], [0.237, 0.763, 0.402], [0.500, 0.500, 0.000], [0.500, 0.500, 0.500], [0.763, 0.237, 0.598], [0.763, 0.237, 0.902], [0.941, 0.059, 0.250]],
  "formation_energy_uncorrected_mev_per_atom": -1374.0,
  "magnetic_moment_mub_per_cell": 0.000
}